## Th3Si2Ni3 (PBE)

Data for a geometry-optimized Th3Si2Ni3 structure.

Structure (CIF):
```
data_Th3Si2Ni3
_chemical_formula_sum 'Th12 Si8 Ni12'
_space_group_name_H-M_alt 'C m c m'
_space_group_IT_number 63
_space_group_name_Hall '-C 2c 2'
_cell_length_a 4.1074
_cell_length_b 10.7413
_cell_length_c 14.7426
_cell_angle_alpha 90.00
_cell_angle_beta 90.00
_cell_angle_gamma 90.00
loop_
_atom_site_label
_atom_site_type_symbol
_atom_site_fract_x
_atom_site_fract_y
_atom_site_fract_z
Th1 Th 0.0000 0.0746 0.2500
Th2 Th 0.0000 0.3723 0.0894
Si1 Si 0.0000 0.3337 0.6121
Ni1 Ni 0.0000 0.0842 0.0589
Ni2 Ni 0.0000 0.2139 0.7500
```

Results
Formation energy from raw total energies (meV/atom): -647
Density of states at the Fermi level (states/eV/atom): 0.818